! TmCd4Pd2 PBE-GGA relaxed; values from VASP
&SYSTEM
  ibrav = 0, nat = 14, ntyp = 3
/
ATOMIC_SPECIES
Tm 168.93 Tm.upf
Cd 112.41 Cd.upf
Pd 106.42 Pd.upf
CELL_PARAMETERS angstrom
8.881 0.000 0.000
0.000 8.881 0.000
0.000 0.000 3.806
ATOMIC_POSITIONS crystal
Tm 0.000 0.000 0.000
Tm 0.500 0.500 0.500
Cd 0.096 0.334 0.500
Cd 0.166 0.596 0.000
Cd 0.334 0.096 0.500
Cd 0.404 0.834 0.000
Cd 0.596 0.166 0.000
Cd 0.666 0.904 0.500
Cd 0.834 0.404 0.000
Cd 0.904 0.666 0.500
Pd 0.168 0.832 0.500
Pd 0.332 0.332 0.000
Pd 0.668 0.668 0.000
Pd 0.832 0.168 0.500
! M_tot, μB/cell: 0.00
! Theoretical density, g cm⁻³: 9.20
! Distance to the lowest polymorph of the same formula, eV per formula unit: 0.00
! E_form, eV/atom: -0.399
! V, Å³ per atom: 21.4
! Density of states at the Fermi level, states/eV/cell: 4.5